(1)
Material: ScAs2Pt
Method: DFT, PBE
State: optimized geometry

Computed properties:
Energy above the lowest structure with this stoichiometry in meV per atom: 80.2
V in Å³ per cell: 70.5
Space-group type: I-4m2, No. 119
Formation energy in eV/atom: -0.622

CIF file:
```
data_ScAs2Pt
_space_group_name_H-M_alt 'P 1'
_space_group_IT_number 1
_space_group_name_Hall 'P 1'
_cell_length_a 5.435
_cell_length_b 5.435
_cell_length_c 5.435
_cell_angle_alpha 138.21
_cell_angle_beta 138.21
_cell_angle_gamma 60.58
loop_
_atom_site_label
_atom_site_fract_x
_atom_site_fract_y
_atom_site_fract_z
As1 0.000 0.000 0.000
As2 0.250 0.750 0.500
Sc1 0.750 0.250 0.500
Pt1 0.500 0.500 0.000
```

=====

(2)
Material: K2TcAu
Method: DFT, PBE
State: optimized geometry

Computed properties:
Energy above the lowest structure with this stoichiometry in meV per atom: 316.3
V in Å³ per cell: 106.4
Space-group type: Pmmm, No. 47
Formation energy in eV/atom: 0.939

CIF file:
```
data_K2TcAu
_space_group_name_H-M_alt 'P 1'
_space_group_IT_number 1
_space_group_name_Hall 'P 1'
_cell_length_a 5.242
_cell_length_b 3.341
_cell_length_c 6.932
_cell_angle_alpha 61.21
_cell_angle_beta 90.00
_cell_angle_gamma 90.00
loop_
_atom_site_label
_atom_site_fract_x
_atom_site_fract_y
_atom_site_fract_z
Au1 0.500 0.750 0.750
K1 0.000 0.496 0.505
K2 0.000 0.004 0.995
Tc1 0.500 0.250 0.250
```

=====

(3)
Material: UPa6N12
Method: DFT, PBE
State: optimized geometry

Computed properties:
Formation energy (no corrections) in meV/atom: -1732
V in Å³ per cell: 277.8
Space-group type: R-3, No. 148

CIF file:
```
data_UPa6N12
_space_group_name_H-M_alt 'P 1'
_space_group_IT_number 1
_space_group_name_Hall 'P 1'
_cell_length_a 6.625
_cell_length_b 6.625
_cell_length_c 6.625
_cell_angle_alpha 99.31
_cell_angle_beta 99.31
_cell_angle_gamma 99.31
loop_
_atom_site_label
_atom_site_fract_x
_atom_site_fract_y
_atom_site_fract_z
N1 0.434 0.176 0.593
N2 0.824 0.407 0.566
N3 0.593 0.434 0.176
N4 0.065 0.936 0.686
N5 0.936 0.686 0.065
N6 0.407 0.566 0.824
N7 0.176 0.593 0.434
N8 0.935 0.064 0.314
N9 0.566 0.824 0.407
N10 0.686 0.065 0.936
N11 0.314 0.935 0.064
N12 0.064 0.314 0.935
Pa1 0.864 0.703 0.400
Pa2 0.400 0.864 0.703
Pa3 0.297 0.600 0.136
Pa4 0.703 0.400 0.864
Pa5 0.600 0.136 0.297
Pa6 0.136 0.297 0.600
U1 0.000 0.000 0.000
```

=====

(4)
Material: Li5Ga2Bi5
Method: DFT, PBE
State: optimized geometry

Computed properties:
V in Å³ per cell: 311.1
Space-group type: C2/m, No. 12
Formation energy in eV/atom: -0.235

CIF file:
```
data_Li5Ga2Bi5
_space_group_name_H-M_alt 'P 1'
_space_group_IT_number 1
_space_group_name_Hall 'P 1'
_cell_length_a 4.700
_cell_length_b 6.611
_cell_length_c 11.225
_cell_angle_alpha 106.23
_cell_angle_beta 90.00
_cell_angle_gamma 110.82
loop_
_atom_site_label
_atom_site_fract_x
_atom_site_fract_y
_atom_site_fract_z
Li1 0.349 0.698 0.990
Li2 0.500 0.000 0.500
Li3 0.293 0.586 0.625
Li4 0.651 0.302 0.010
Li5 0.707 0.414 0.375
Ga1 0.893 0.786 0.201
Ga2 0.107 0.214 0.799
Bi1 0.253 0.506 0.209
Bi2 0.000 0.000 0.000
Bi3 0.747 0.494 0.791
Bi4 0.917 0.834 0.586
Bi5 0.083 0.166 0.414
```

=====

Calculated E_tot (eV per cell), listed in the same order as above: -24.16, -12.08, -201.07, -37.84
Calculated Fermi-level density of states (states/eV/cell), listed in the same order as above: 2.238, 2.958, 0.000, 2.959